No. 1
Below is crystalline KPb at its relaxed geometry, with properties calculated at the PBE level.

POSCAR file:
```
KPb
1.0
10.157 0.000 0.000
-5.078 8.796 0.000
0.000 0.000 6.004
K Pb
6 6
Cartesian
0.000 3.234 1.501
-2.278 7.179 1.501
2.800 1.617 4.503
2.278 7.179 1.501
7.356 1.617 4.503
5.078 5.562 4.503
-1.591 4.946 4.503
1.591 4.946 4.503
0.000 7.701 4.503
5.078 1.095 1.501
3.488 3.850 1.501
6.669 3.850 1.501
```

Values from the calculation:
Magnetization = 0.37 μB/cell
DFT total energy = -2.550 eV per atom
Energy relative to the elements = -0.147 eV/atom
Excess energy over the best structure of this formula in the dataset = 9.1 kJ per mole of atoms



No. 2
Below is crystalline Pm3PrSn at its relaxed geometry, with properties calculated at the PBE level.

POSCAR file:
```
Pm3PrSn
1.0
3.297 -8.574 0.000
3.297 8.574 0.000
0.000 0.000 6.017
Pm Pr Sn
6 2 2
Cartesian
0.000 0.000 0.000
0.000 0.000 3.008
1.618 2.958 1.504
1.618 -2.958 4.512
4.977 2.958 1.504
4.977 -2.958 4.512
3.297 1.178 4.512
3.297 -1.178 1.504
3.297 5.738 1.504
3.297 -5.738 4.512
```

Values from the calculation:
Magnetization = 1.87 μB/cell
DFT total energy = -4.781 eV per atom
Energy relative to the elements = -0.174 eV/atom



No. 3
Below is crystalline ErPuZnPb at its relaxed geometry, with properties calculated at the PBE level.

POSCAR file:
```
ErPuZnPb
1.0
0.000 3.720 3.720
3.720 0.000 3.720
3.720 3.720 0.000
Er Pu Zn Pb
1 1 1 1
Cartesian
0.000 0.000 0.000
3.720 3.720 3.720
5.580 5.580 5.580
1.860 1.860 1.860
```

Values from the calculation:
Magnetization = 6.59 μB/cell
DFT total energy = -6.162 eV per atom
Energy relative to the elements = -0.193 eV/atom



No. 4
Below is crystalline NdGdZnAg at its relaxed geometry, with properties calculated at the PBE level.

POSCAR file:
```
NdGdZnAg
1.0
0.000 3.682 3.682
3.682 0.000 3.682
3.682 3.682 0.000
Nd Gd Zn Ag
1 1 1 1
Cartesian
0.000 0.000 0.000
3.682 3.682 3.682
1.841 1.841 1.841
5.523 5.523 5.523
```

Values from the calculation:
Magnetization = 7.55 μB/cell
DFT total energy = -6.039 eV per atom
Energy relative to the elements = -0.296 eV/atom